1.
# NaNdMg | the Alexandria database | PBE | optimized geometry
# N(E_F) = 0.82 states/eV/atom
# crystal system = trigonal
data_NaNdMg
_cell_length_a 5.5769
_cell_length_b 5.5769
_cell_length_c 3.3397
_cell_angle_alpha 90.00
_cell_angle_beta 90.00
_cell_angle_gamma 120.00
_symmetry_space_group_name_H-M 'P 1'
_symmetry_Int_Tables_number 1
_symmetry_space_group_name_Hall 'P 1'
loop_
_atom_site_label
_atom_site_type_symbol
_atom_site_fract_x
_atom_site_fract_y
_atom_site_fract_z
Na1 Na 0.0000 0.0000 0.0000
Nd1 Nd 0.3333 0.6667 0.5040
Mg1 Mg 0.6667 0.3333 0.0068

2.
# NaNdMg | the Alexandria database | PBE | optimized geometry
# N(E_F) = 0.89 states/eV/atom
# crystal system = tetragonal
data_NaNdMg
_cell_length_a 8.2585
_cell_length_b 8.2585
_cell_length_c 8.2585
_cell_angle_alpha 155.81
_cell_angle_beta 155.81
_cell_angle_gamma 34.47
_symmetry_space_group_name_H-M 'P 1'
_symmetry_Int_Tables_number 1
_symmetry_space_group_name_Hall 'P 1'
loop_
_atom_site_label
_atom_site_type_symbol
_atom_site_fract_x
_atom_site_fract_y
_atom_site_fract_z
Na1 Na 0.0000 0.0000 0.0000
Nd1 Nd 0.6926 0.6926 0.0000
Mg1 Mg 0.3397 0.3397 0.0000

3.
# NaNdMg4 | the Alexandria database | PBE | optimized geometry
# N(E_F) = 0.78 states/eV/atom
# crystal system = cubic
data_NaNdMg4
_cell_length_a 6.1447
_cell_length_b 6.1447
_cell_length_c 6.1447
_cell_angle_alpha 60.00
_cell_angle_beta 60.00
_cell_angle_gamma 60.00
_symmetry_space_group_name_H-M 'P 1'
_symmetry_Int_Tables_number 1
_symmetry_space_group_name_Hall 'P 1'
loop_
_atom_site_label
_atom_site_type_symbol
_atom_site_fract_x
_atom_site_fract_y
_atom_site_fract_z
Na1 Na 0.0000 0.0000 0.0000
Nd1 Nd 0.7500 0.7500 0.7500
Mg1 Mg 0.3756 0.3756 0.3756
Mg2 Mg 0.3756 0.3756 0.8731
Mg3 Mg 0.3756 0.8731 0.3756
Mg4 Mg 0.8731 0.3756 0.3756

Calculated ΔE_f (meV/atom), listed in the same order as above: 107, 101, 22